SnMo2WBr: optimized geometry, PBE.

a = 5.010 Å, b = 4.999 Å, c = 5.010 Å
α = 90.00°, β = 90.00°, γ = 90.00°
Fractional positions:
Sn: 0.000 0.000 0.000
Br: 0.500 0.500 0.500
Mo: 0.500 0.000 0.000
Mo: 0.000 0.000 0.500
W: 0.000 0.500 0.000

Output
- Raw formation energy: 2.60 eV per atom
- Density of states at the Fermi level: 6.6 states/eV/f.u.
- Final energy: -27.28 eV/f.u.
- Symmetry: P4/mmm, No. 123